Material: Tl2VCl4F2
Method: DFT, PBE with a Hubbard U
State: relaxed

```
9
Lattice="5.663 -3.553 0.000 5.663 3.553 0.000 -0.602 0.000 5.683" Properties=species:S:1:pos:R:3 pbc="T T T"
Tl 1.661 0.000 1.543
Tl 9.064 0.000 4.140
V 5.663 0.000 0.000
Cl 4.413 1.706 1.107
Cl 6.311 1.706 4.577
Cl 4.413 -1.706 1.107
Cl 6.311 -1.706 4.577
F 3.848 0.000 4.342
F 6.876 0.000 1.341
```

Output
As for the space group: C2/m. The calculation puts the final energy at -36.829 eV/cell.